# 1
Compound: KMnPb2C
Source: Alexandria via LeMat-Bulk
Functional: GGA-PBE
Structure: optimized geometry

Geometry as extended XYZ:
```
5
Lattice="5.3892 0.0000 0.0000 0.0000 5.3892 0.0000 0.0000 0.0000 3.7834" Properties=species:S:1:pos:R:3 pbc="T T T"
K 0.0000 0.0000 0.0000
Mn 2.6946 2.6946 1.8917
Pb 0.0000 2.6946 1.8917
Pb 2.6946 0.0000 1.8917
C 2.6946 2.6946 0.0000
```

Calculated values
calculated volume: 110 Å³/f.u.
final energy: -4.637 eV/atom
calculated density: 7.9 Mg/m³

# 2
Compound: K2MnPbC
Source: Alexandria via LeMat-Bulk
Functional: GGA-PBE
Structure: optimized geometry

Geometry as extended XYZ:
```
5
Lattice="6.0750 0.0000 0.0000 0.0000 6.0750 0.0000 0.0000 0.0000 3.7674" Properties=species:S:1:pos:R:3 pbc="T T T"
K 0.0000 3.0375 0.0000
K 3.0375 0.0000 0.0000
Mn 0.0000 0.0000 1.8837
Pb 3.0375 3.0375 1.8837
C 0.0000 0.0000 0.0000
```

Calculated values
calculated volume: 139 Å³/f.u.
final energy: -4.251 eV/atom
calculated density: 4.2 Mg/m³

# 3
Compound: KMnRh2C
Source: Alexandria via LeMat-Bulk
Functional: GGA-PBE
Structure: optimized geometry

Geometry as extended XYZ:
```
5
Lattice="4.0614 0.0000 0.0000 0.0000 4.0614 0.0000 0.0000 0.0000 5.0190" Properties=species:S:1:pos:R:3 pbc="T T T"
K 0.0000 0.0000 0.0000
Mn 2.0307 2.0307 0.0000
Rh 0.0000 2.0307 2.5095
Rh 2.0307 0.0000 2.5095
C 0.0000 0.0000 2.5095
```

Calculated values
calculated volume: 83 Å³/f.u.
final energy: -6.146 eV/atom
calculated density: 6.3 Mg/m³

# 4
Compound: KSc2MnC
Source: Alexandria via LeMat-Bulk
Functional: GGA-PBE
Structure: optimized geometry

Geometry as extended XYZ:
```
5
Lattice="4.7465 0.0000 0.0000 0.0000 4.7465 0.0000 0.0000 0.0000 3.9715" Properties=species:S:1:pos:R:3 pbc="T T T"
K 0.0000 0.0000 0.0000
Sc 0.0000 2.3732 0.0000
Sc 2.3732 0.0000 0.0000
Mn 0.0000 0.0000 1.9858
C 2.3732 2.3732 1.9858
```

Calculated values
calculated volume: 89 Å³/f.u.
final energy: -3.638 eV/atom
calculated density: 3.6 Mg/m³

# 5
Compound: KSrMnC2
Source: Alexandria via LeMat-Bulk
Functional: GGA-PBE
Structure: optimized geometry

Geometry as extended XYZ:
```
5
Lattice="5.0096 0.0000 0.0000 0.0000 5.0096 0.0000 0.0000 0.0000 5.3314" Properties=species:S:1:pos:R:3 pbc="T T T"
K 0.0000 0.0000 0.0000
Sr 2.5048 2.5048 2.6657
Mn 2.5048 2.5048 0.0000
C 0.0000 2.5048 2.6657
C 2.5048 0.0000 2.6657
```

Calculated values
calculated volume: 134 Å³/f.u.
final energy: -3.111 eV/atom
calculated density: 2.6 Mg/m³

# 6
Compound: KMn2TcC
Source: Alexandria via LeMat-Bulk
Functional: GGA-PBE
Structure: optimized geometry

Geometry as extended XYZ:
```
5
Lattice="4.7455 0.0000 0.0000 0.0000 4.7455 0.0000 0.0000 0.0000 4.5665" Properties=species:S:1:pos:R:3 pbc="T T T"
K 0.0000 0.0000 0.0000
Mn 0.0000 2.3727 0.0000
Mn 2.3727 0.0000 0.0000
Tc 0.0000 0.0000 2.2832
C 2.3727 2.3727 2.2832
```

Calculated values
calculated volume: 103 Å³/f.u.
final energy: -4.097 eV/atom
calculated density: 4.2 Mg/m³

# 7
Compound: KTiMnC2
Source: Alexandria via LeMat-Bulk
Functional: GGA-PBE
Structure: optimized geometry

Geometry as extended XYZ:
```
5
Lattice="3.8778 0.0000 0.0000 0.0000 3.8778 0.0000 0.0000 0.0000 4.6059" Properties=species:S:1:pos:R:3 pbc="T T T"
K 0.0000 0.0000 0.0000
Ti 1.9389 1.9389 0.0000
Mn 0.0000 0.0000 2.3029
C 0.0000 1.9389 2.3029
C 1.9389 0.0000 2.3029
```

Calculated values
calculated volume: 69 Å³/f.u.
final energy: -5.298 eV/atom
calculated density: 4.0 Mg/m³

# 8
Compound: K3MoC
Source: Alexandria via LeMat-Bulk
Functional: GGA-PBE
Structure: optimized geometry

Geometry as extended XYZ:
```
5
Lattice="5.8521 0.0000 0.0000 0.0000 5.8521 0.0000 0.0000 0.0000 5.8521" Properties=species:S:1:pos:R:3 pbc="T T T"
K 0.0000 0.0000 2.9261
K 0.0000 2.9261 0.0000
K 2.9261 0.0000 0.0000
Mo 2.9261 2.9261 2.9261
C 0.0000 0.0000 0.0000
```

Calculated values
calculated volume: 200 Å³/f.u.
final energy: -2.885 eV/atom
calculated density: 1.9 Mg/m³

> Among the records above, which one has the highest calculated volume?

K3MoC

> Which formula does entry 7 have?

KTiMnC2

> calculated volume of number 7 (KTiMnC2)?

69 Å³/f.u.

> What is the final energy in the first record?

-4.637 eV/atom